First-principles (meta-GGA SCAN) data for a crystal of MgCd2H2 relaxed with PBEsol, as listed in Alexandria via LeMat-Bulk.

Structure (CIF):
```
data_MgCd2H2
_chemical_formula_sum 'Mg2 Cd4 H4'
_symmetry_space_group_name_H-M 'P 4/m b m'
_symmetry_Int_Tables_number 127
_symmetry_space_group_name_Hall '-P 4 2ab'
_cell_length_a 5.5522
_cell_length_b 5.5522
_cell_length_c 4.6964
_cell_angle_alpha 90.00
_cell_angle_beta 90.00
_cell_angle_gamma 90.00
loop_
_atom_site_label
_atom_site_type_symbol
_atom_site_fract_x
_atom_site_fract_y
_atom_site_fract_z
Mg1 Mg 0.0000 0.0000 0.0000
Cd1 Cd 0.1790 0.3210 0.5000
H1 H 0.1921 0.3079 0.0000
```



# ScCu2Pd (meta-GGA SCAN, PBEsol geometry)
data_ScCu2Pd
_chemical_formula_sum 'Sc4 Cu8 Pd4'
_symmetry_space_group_name_H-M 'F m -3 m'
_symmetry_Int_Tables_number 225
_symmetry_space_group_name_Hall '-F 4 2 3'
_cell_length_a 6.1176
_cell_length_b 6.1176
_cell_length_c 6.1176
_cell_angle_alpha 90.00
_cell_angle_beta 90.00
_cell_angle_gamma 90.00
loop_
_atom_site_label
_atom_site_type_symbol
_atom_site_fract_x
_atom_site_fract_y
_atom_site_fract_z
Sc1 Sc 0.0000 0.0000 0.0000
Cu1 Cu 0.2500 0.2500 0.2500
Pd1 Pd 0.0000 0.0000 0.5000
# E_form ... -0.39 eV/atom



# ZnCr2RuSe (meta-GGA SCAN, PBEsol geometry)
data_ZnCr2RuSe
_chemical_formula_sum 'Zn1 Cr2 Ru1 Se1'
_symmetry_space_group_name_H-M 'P 4/m m m'
_symmetry_Int_Tables_number 123
_symmetry_space_group_name_Hall '-P 4 2'
_cell_length_a 4.6995
_cell_length_b 4.6995
_cell_length_c 4.6038
_cell_angle_alpha 90.00
_cell_angle_beta 90.00
_cell_angle_gamma 90.00
loop_
_atom_site_label
_atom_site_type_symbol
_atom_site_fract_x
_atom_site_fract_y
_atom_site_fract_z
Zn1 Zn 0.0000 0.0000 0.0000
Cr1 Cr 0.0000 0.5000 0.5000
Ru1 Ru 0.5000 0.5000 0.5000
Se1 Se 0.5000 0.5000 0.0000
# Raw formation energy ... 0.74 eV/atom



# SrIrPt2 (meta-GGA SCAN, PBEsol geometry)
data_SrIrPt2
_chemical_formula_sum 'Sr2 Ir2 Pt4'
_symmetry_space_group_name_H-M 'I -4 m 2'
_symmetry_Int_Tables_number 119
_symmetry_space_group_name_Hall 'I -4 -2'
_cell_length_a 4.1259
_cell_length_b 4.1259
_cell_length_c 8.2750
_cell_angle_alpha 90.00
_cell_angle_beta 90.00
_cell_angle_gamma 90.00
loop_
_atom_site_label
_atom_site_type_symbol
_atom_site_fract_x
_atom_site_fract_y
_atom_site_fract_z
Sr1 Sr 0.0000 0.0000 0.0000
Ir1 Ir 0.0000 0.5000 0.2500
Pt1 Pt 0.0000 0.0000 0.5000
Pt2 Pt 0.0000 0.5000 0.7500
# E_form ... 0.18 eV/atom
# Energy above the most stable polymorph in this dataset ... 0.79 eV per formula unit



For reference, E by record: -14.500, -19.743, -20.301, -58.262 eV per atom.